No. 1
Compound: TmMgSc2
Source: the Alexandria database
Functional: GGA-PBE
Structure: optimized geometry

Structure (POSCAR):
```
TmMgSc2
1.0
1.651 0.953 10.846
-1.651 0.953 10.846
0.000 -1.906 10.846
Tm Mg Sc
1 1 2
Direct
0.000 0.000 0.000 Tm
0.500 0.500 0.500 Mg
0.248 0.248 0.248 Sc
0.752 0.752 0.752 Sc
```

Crystal system: trigonal
Total magnetization (μB per formula unit): 0.00
DFT formation energy (meV/atom): 39
Density (g/cm3): 4.59
Energy relative to the lowest polymorph listed for this composition (eV/atom): 0.0347
E (eV per atom): -4.643

---

No. 2
Compound: AlPt2
Source: the Alexandria database
Functional: GGA-PBE
Structure: optimized geometry

Structure (POSCAR):
```
AlPt2
1.0
5.472 0.000 0.000
0.000 4.102 0.000
0.000 0.000 7.982
Al Pt
4 8
Direct
0.190 0.250 0.104 Al
0.310 0.750 0.604 Al
0.690 0.250 0.396 Al
0.810 0.750 0.896 Al
0.045 0.250 0.790 Pt
0.161 0.250 0.431 Pt
0.339 0.750 0.931 Pt
0.455 0.750 0.290 Pt
0.545 0.250 0.710 Pt
0.661 0.250 0.069 Pt
0.839 0.750 0.569 Pt
0.955 0.750 0.210 Pt
```

Crystal system: orthorhombic
Total magnetization (μB per formula unit): 0.00
DFT formation energy (meV/atom): -872
Density (g/cm3): 15.47
E (eV per atom): -6.146

---

No. 3
Compound: Pu3BiH2
Source: the Alexandria database
Functional: GGA-PBE
Structure: optimized geometry

Structure (POSCAR):
```
Pu3BiH2
1.0
7.689 -1.776 0.000
7.689 1.776 0.000
-4.197 0.000 7.935
Pu Bi H
6 2 4
Direct
0.070 0.070 0.366 Pu
0.224 0.224 0.665 Pu
0.348 0.348 0.239 Pu
0.652 0.652 0.761 Pu
0.776 0.776 0.335 Pu
0.930 0.930 0.634 Pu
0.112 0.112 0.020 Bi
0.888 0.888 0.980 Bi
0.223 0.223 0.415 H
0.376 0.376 0.706 H
0.624 0.624 0.294 H
0.777 0.777 0.585 H
```

Crystal system: monoclinic
Total magnetization (μB per formula unit): 6.46
Density (g/cm3): 14.45
Energy relative to the lowest polymorph listed for this composition (eV/atom): 0.1690
E (eV per atom): -9.038

---

No. 4
Compound: CaMoPd
Source: the Alexandria database
Functional: GGA-PBE
Structure: optimized geometry

Structure (POSCAR):
```
CaMoPd
1.0
5.032 0.000 0.000
0.050 5.291 0.000
2.514 1.244 4.768
Ca Mo Pd
2 2 2
Direct
0.000 0.000 0.000 Ca
0.351 0.218 0.289 Ca
0.394 0.595 0.661 Mo
0.935 0.596 0.665 Mo
0.668 0.071 0.659 Pd
0.894 0.475 0.198 Pd
```

Crystal system: triclinic
Total magnetization (μB per formula unit): 0.00
DFT formation energy (meV/atom): 130
Density (g/cm3): 6.34
Energy relative to the lowest polymorph listed for this composition (eV/atom): 0.2299
E (eV per atom): -5.879

---

No. 5
Compound: DyPOsO
Source: the Alexandria database
Functional: GGA-PBE
Structure: optimized geometry

Structure (POSCAR):
```
DyPOsO
1.0
4.011 0.000 0.000
0.000 4.011 0.000
0.000 0.000 7.892
Dy P Os O
2 2 2 2
Direct
0.250 0.250 0.134 Dy
0.750 0.750 0.866 Dy
0.250 0.250 0.655 P
0.750 0.750 0.345 P
0.250 0.750 0.500 Os
0.750 0.250 0.500 Os
0.250 0.750 0.000 O
0.750 0.250 0.000 O
```

Uncorrected formation energy (meV per atom): -1884
Crystal system: tetragonal
Total magnetization (μB per formula unit): 0.00
Density (g/cm3): 10.46
E (eV per atom): -8.434

---

No. 6
Compound: Nb4FeGe3
Source: the Alexandria database
Functional: GGA-PBE
Structure: optimized geometry

Structure (POSCAR):
```
Nb4FeGe3
1.0
-5.064 5.064 2.509
5.064 -5.064 2.509
5.064 5.064 -2.509
Nb Fe Ge
8 2 6
Direct
0.082 0.779 0.862 Nb
0.221 0.082 0.303 Nb
0.279 0.582 0.862 Nb
0.418 0.279 0.697 Nb
0.582 0.721 0.303 Nb
0.721 0.418 0.138 Nb
0.779 0.918 0.697 Nb
0.918 0.221 0.138 Nb
0.250 0.750 0.500 Fe
0.750 0.250 0.500 Fe
0.154 0.346 0.500 Ge
0.250 0.250 0.000 Ge
0.346 0.846 0.192 Ge
0.654 0.154 0.808 Ge
0.750 0.750 0.000 Ge
0.846 0.654 0.500 Ge
```

Crystal system: tetragonal
Total magnetization (μB per formula unit): 2.44
DFT formation energy (meV/atom): -424
Density (g/cm3): 8.33
E (eV per atom): -8.248

---

Q: E of number 6 (Nb4FeGe3)?
A: -8.248 eV per atom

---

Q: What is the total magnetization in the fourth record?
A: 0.00 μB per formula unit